(1)
A plane-wave DFT calculation with PBE was carried out for a geometry-optimized SnHAu structure.

Properties
DFT total energy in eV/cell: -20.0

a b c (Å): 3.907 4.035 7.612
angles (deg): 90.68 90.00 118.95
Positions (direct):
H  0.849  0.698  0.997
H  0.151  0.302  0.003
Au  0.328  0.656  0.386
Au  0.672  0.344  0.614
Sn  0.650  0.299  0.170
Sn  0.350  0.701  0.830

(2)
A plane-wave DFT calculation with PBE was carried out for a geometry-optimized SnH2Au structure.

Properties
DFT total energy in eV/cell: -25.4

a b c (Å): 4.595 4.595 6.419
angles (deg): 69.03 69.03 90.00
Positions (direct):
H  0.827  0.125  0.250
H  0.923  0.625  0.250
H  0.375  0.173  0.750
H  0.875  0.077  0.750
Au  0.000  0.000  0.000
Au  0.750  0.250  0.500
Sn  0.500  0.500  0.000
Sn  0.250  0.750  0.500

(3)
A plane-wave DFT calculation with PBE was carried out for a geometry-optimized SnH2Au structure.

Properties
DFT total energy in eV/cell: -11.4

a b c (Å): 4.215 4.215 4.215
angles (deg): 60.00 60.00 60.00
Positions (direct):
H  0.250  0.250  0.250
H  0.750  0.750  0.750
Au  0.500  0.500  0.500
Sn  0.000  0.000  0.000

(4)
A plane-wave DFT calculation with PBE was carried out for a geometry-optimized SnHAu structure.

Properties
DFT total energy in eV/cell: -10.4

a b c (Å): 3.774 3.774 5.257
angles (deg): 111.04 111.04 90.00
Positions (direct):
H  0.951  0.951  0.903
Au  0.154  0.154  0.308
Sn  0.745  0.745  0.489

(5)
A plane-wave DFT calculation with PBE was carried out for a geometry-optimized Sn3HAu structure.

Properties
DFT total energy in eV/cell: -17.4

a b c (Å): 4.693 4.693 4.693
angles (deg): 90.00 90.00 90.00
Positions (direct):
H  0.000  0.000  0.000
Au  0.500  0.500  0.500
Sn  0.000  0.500  0.000
Sn  0.000  0.000  0.500
Sn  0.500  0.000  0.000

(6)
A plane-wave DFT calculation with PBE was carried out for a geometry-optimized SnH2Au2 structure.

Properties
DFT total energy in eV/cell: -15.5

a b c (Å): 3.961 3.961 5.297
angles (deg): 68.05 68.05 90.00
Positions (direct):
H  0.750  0.250  0.500
H  0.250  0.750  0.500
Au  0.340  0.340  0.320
Au  0.660  0.660  0.680
Sn  0.000  0.000  0.000

(7)
A plane-wave DFT calculation with PBE was carried out for a geometry-optimized SnH2Au2 structure.

Properties
DFT total energy in eV/cell: -32.6

a b c (Å): 6.622 6.622 3.603
angles (deg): 90.00 90.00 90.00
Positions (direct):
H  0.143  0.643  0.000
H  0.643  0.857  0.000
H  0.857  0.357  0.000
H  0.357  0.143  0.000
Au  0.154  0.654  0.500
Au  0.654  0.846  0.500
Au  0.846  0.346  0.500
Au  0.346  0.154  0.500
Sn  0.000  0.000  0.000
Sn  0.500  0.500  0.000

(8)
A plane-wave DFT calculation with PBE was carried out for a geometry-optimized SnHAu structure.

Properties
DFT total energy in eV/cell: -20.7

a b c (Å): 9.296 5.311 12.424
angles (deg): 33.95 22.74 34.18
Positions (direct):
Sn  0.708  0.140  0.638
Sn  0.443  0.253  0.403
H  0.302  0.943  0.042
H  0.849  0.450  0.998
Au  0.889  0.729  0.457
Au  0.262  0.664  0.584

(9)
A plane-wave DFT calculation with PBE was carried out for a geometry-optimized SnTe2HAu structure.

Properties
DFT total energy in eV/cell: -16.6

a b c (Å): 5.735 5.735 3.539
angles (deg): 90.00 90.00 90.00
Positions (direct):
H  0.000  0.000  0.500
Te  0.000  0.500  0.000
Te  0.500  0.000  0.000
Au  0.000  0.000  0.000
Sn  0.500  0.500  0.500

(10)
A plane-wave DFT calculation with PBE was carried out for a geometry-optimized Sn2TeHAu structure.

Properties
DFT total energy in eV/cell: -17.8

a b c (Å): 5.528 5.528 3.727
angles (deg): 90.00 90.00 90.00
Positions (direct):
H  0.000  0.000  0.500
Te  0.500  0.500  0.500
Au  0.000  0.000  0.000
Sn  0.000  0.500  0.000
Sn  0.500  0.000  0.000

(11)
A plane-wave DFT calculation with PBE was carried out for a geometry-optimized TlSnH2Au structure.

Properties
DFT total energy in eV/cell: -15.5

a b c (Å): 4.090 4.090 5.624
angles (deg): 90.00 90.00 90.00
Positions (direct):
H  0.000  0.500  0.000
H  0.500  0.000  0.000
Tl  0.500  0.500  0.500
Au  0.000  0.000  0.500
Sn  0.000  0.000  0.000

(12)
A plane-wave DFT calculation with PBE was carried out for a geometry-optimized SnHW2Au structure.

Properties
DFT total energy in eV/cell: -23.0

a b c (Å): 5.172 5.260 5.172
angles (deg): 90.00 90.00 90.00
Positions (direct):
H  0.500  0.500  0.500
Au  0.000  0.000  0.000
Sn  0.000  0.500  0.000
W  0.000  0.000  0.500
W  0.500  0.000  0.000

(13)
A plane-wave DFT calculation with PBE was carried out for a geometry-optimized YSnHAu2 structure.

Properties
DFT total energy in eV/cell: -22.2

a b c (Å): 4.664 4.664 4.207
angles (deg): 90.00 90.00 90.00
Positions (direct):
Y  0.000  0.000  0.500
H  0.000  0.000  0.000
Au  0.000  0.500  0.000
Au  0.500  0.000  0.000
Sn  0.500  0.500  0.500

(14)
A plane-wave DFT calculation with PBE was carried out for a geometry-optimized Zr2SnHAu structure.

Properties
DFT total energy in eV/cell: -29.9

a b c (Å): 4.385 4.385 4.434
angles (deg): 90.00 90.00 90.00
Positions (direct):
H  0.000  0.000  0.000
Au  0.000  0.000  0.500
Sn  0.500  0.500  0.500
Zr  0.000  0.500  0.000
Zr  0.500  0.000  0.000

In μB/cell, the total magnetic moment values for the records above are, in order, 0.0, 0.0, 0.0, 0.0, 0.0, 0.0, 0.0, 0.0, 0.0, 0.0, 0.0, 6.9, 0.0, 0.0.